1.
## AlAsW (PBE)

Data for crystalline AlAsW at its relaxed geometry.

Output
Formation enthalpy at 0 K (eV/atom): 0.23
Relative energy among the computed polymorphs (eV/atom): 0.3427
Density of states at the Fermi level (states/eV/atom): 0.60

Cell lengths 4.5637, 4.5637, 2.7154 Å; angles 90.00, 90.00, 120.00 degrees
Space group P-6m2 (No. 187)
Symmetry-distinct sites (fractional):
1 Al 0.0000 0.0000 0.0000 (multiplicity 1)
2 As 0.6667 0.3333 0.5000 (multiplicity 1)
3 W 0.3333 0.6667 0.5000 (multiplicity 1)



2.
## Al2AsW (PBE)

Data for crystalline Al2AsW at its relaxed geometry.

Output
Formation enthalpy at 0 K (eV/atom): 0.13
Density of states at the Fermi level (states/eV/atom): 0.43

Cell lengths 3.5043, 4.4436, 8.4316 Å; angles 90.00, 90.00, 90.00 degrees
Space group Cmmm (No. 65)
Symmetry-distinct sites (fractional):
1 Al 0.0000 0.0000 0.2373 (multiplicity 4)
2 As 0.0000 0.5000 0.5000 (multiplicity 2)
3 W 0.0000 0.5000 0.0000 (multiplicity 2)



3.
## AlAsW2 (PBE)

Data for crystalline AlAsW2 at its relaxed geometry.

Output
Formation enthalpy at 0 K (eV/atom): 0.41
Relative energy among the computed polymorphs (eV/atom): 0.4450
Density of states at the Fermi level (states/eV/atom): 1.46

Cell lengths 6.2771, 6.2771, 6.2771 Å; angles 90.00, 90.00, 90.00 degrees
Space group Fm-3m (No. 225)
Symmetry-distinct sites (fractional):
1 Al 0.0000 0.0000 0.0000 (multiplicity 4)
2 As 0.0000 0.0000 0.5000 (multiplicity 4)
3 W 0.2500 0.2500 0.2500 (multiplicity 8)



Question: The highest formation enthalpy at 0 K belongs to which entry?
Answer: AlAsW2